Entry 1:
Density functional theory data (PBE) for a relaxed structure of ZnTc2Ru2.

a b c (Å): 7.4849 7.4849 2.7412
angles (deg): 90.00 90.00 90.00
Element x y z (fractional)
Ru (0.8750, 0.6250, 0.0000)
Ru (0.3750, 0.8750, 0.0000)
Tc (0.6669, 0.8331, 0.5000)
Zn (0.0000, 0.0000, 0.0000)
Tc (0.1669, 0.6669, 0.5000)
Zn (0.5000, 0.5000, 0.0000)
Tc (0.3331, 0.1669, 0.5000)
Tc (0.8331, 0.3331, 0.5000)
Ru (0.1250, 0.3750, 0.0000)
Ru (0.6250, 0.1250, 0.0000)

Output
Its space group is P4/mbm. For the raw total energy, the calculation gives -79.03 eV for the cell shown. Its distance to the lowest polymorph of the same formula is 0.00 eV/f.u.



Entry 2:
Density functional theory data (PBE) for a relaxed structure of Zn2TcRu.

a b c (Å): 4.4608 4.4608 4.4608
angles (deg): 125.85 125.85 80.14
Element x y z (fractional)
Zn (0.2500, 0.7500, 0.5000)
Tc (0.7500, 0.2500, 0.5000)
Zn (0.0000, 0.0000, 0.0000)
Ru (0.5000, 0.5000, 0.0000)

Output
Its space group is I-4m2. For the raw total energy, the calculation gives -21.93 eV for the cell shown. Its distance to the lowest polymorph of the same formula is 0.55 eV/f.u.



Entry 3:
Density functional theory data (PBE) for a relaxed structure of ZnTc2Ru.

a b c (Å): 5.0772 5.0772 5.0772
angles (deg): 144.12 131.62 61.68
Element x y z (fractional)
Ru (0.2500, 0.7500, 0.5000)
Tc (0.5021, 0.5021, 0.0000)
Zn (0.7500, 0.2500, 0.5000)
Tc (0.9979, 0.9979, 0.0000)

Output
Its space group is Immm. For the raw total energy, the calculation gives -30.95 eV for the cell shown.



Entry 4:
Density functional theory data (PBE) for a relaxed structure of ZnTc2Ru.

a b c (Å): 5.0753 5.0753 5.0753
angles (deg): 145.18 129.48 62.82
Element x y z (fractional)
Tc (0.9964, 0.9964, 0.0000)
Tc (0.7510, 0.2510, 0.5000)
Ru (0.2529, 0.7529, 0.5000)
Zn (0.4996, 0.4996, 0.0000)

Output
Its space group is Imm2. For the raw total energy, the calculation gives -30.65 eV for the cell shown.



Entry 5:
Density functional theory data (PBE) for a relaxed structure of ZnTc2Ru.

a b c (Å): 4.0111 2.7508 5.8384
angles (deg): 61.88 90.00 90.00
Element x y z (fractional)
Ru (0.5000, 0.7500, 0.7500)
Tc (0.0000, 0.9889, 0.0111)
Zn (0.5000, 0.2500, 0.2500)
Tc (0.0000, 0.5111, 0.4889)

Output
Its space group is Pmmm. For the raw total energy, the calculation gives -31.01 eV for the cell shown.



Entry 6:
Density functional theory data (PBE) for a relaxed structure of ZnTcRu2.

a b c (Å): 3.9526 2.7526 5.8602
angles (deg): 62.10 90.00 90.00
Element x y z (fractional)
Tc (0.0000, 0.4970, 0.5019)
Zn (0.5000, 0.7420, 0.7580)
Ru (0.5000, 0.2406, 0.2597)
Ru (0.0000, 0.0204, 0.9804)

Output
Its space group is Pm. For the raw total energy, the calculation gives -29.87 eV for the cell shown.



Entry 7:
Density functional theory data (PBE) for a relaxed structure of ZnTcRu3.

a b c (Å): 4.3904 4.3904 4.3904
angles (deg): 90.00 90.00 90.00
Element x y z (fractional)
Ru (0.0000, 0.5000, 0.0000)
Zn (0.0000, 0.0000, 0.0000)
Ru (0.0000, 0.0000, 0.5000)
Ru (0.5000, 0.0000, 0.0000)
Tc (0.5000, 0.5000, 0.5000)

Output
Its space group is Pm-3m. For the raw total energy, the calculation gives -30.72 eV for the cell shown. Its distance to the lowest polymorph of the same formula is 0.93 eV/f.u.



Entry 8:
Density functional theory data (PBE) for a relaxed structure of Zn2TcRu.

a b c (Å): 2.6615 2.6615 8.6855
angles (deg): 90.00 90.00 111.27
Site moments in Bohr magnetons follow the coordinates.
Element x y z (fractional)
Zn (0.0000, 0.0000, 0.0034)  0.00
Zn (0.0000, 0.0000, 0.4966)  0.00
Ru (0.5000, 0.5000, 0.2500)  0.63
Tc (0.5000, 0.5000, 0.7500)  0.02

Output
Its space group is Cmmm. For the raw total energy, the calculation gives -21.54 eV for the cell shown. Its distance to the lowest polymorph of the same formula is 0.94 eV/f.u.



Entry 9:
Density functional theory data (PBE) for a relaxed structure of Zn2TcRu.

a b c (Å): 3.6413 2.8214 6.2418
angles (deg): 63.14 90.00 90.00
Element x y z (fractional)
Tc (0.5000, 0.7688, 0.7312)
Zn (0.5000, 0.2585, 0.2418)
Ru (0.0000, 0.4826, 0.5174)
Zn (0.0000, 0.9902, 0.0097)

Output
Its space group is Pmm2. For the raw total energy, the calculation gives -22.15 eV for the cell shown. Its distance to the lowest polymorph of the same formula is 0.33 eV/f.u.



Entry 10:
Density functional theory data (PBE) for a relaxed structure of ZnTcRu2.

a b c (Å): 5.0853 5.0853 5.0853
angles (deg): 146.71 128.11 63.06
Element x y z (fractional)
Tc (0.7500, 0.2500, 0.5000)
Zn (0.2500, 0.7500, 0.5000)
Ru (0.0064, 0.0064, 0.0000)
Ru (0.4936, 0.4936, 0.0000)

Output
Its space group is Immm. For the raw total energy, the calculation gives -29.51 eV for the cell shown.



Entry 11:
Density functional theory data (PBE) for a relaxed structure of Zn2TcRu.

a b c (Å): 4.6876 4.6876 4.6495
angles (deg): 78.61 78.61 34.80
Element x y z (fractional)
Zn (0.0019, 0.0019, 0.9967)
Zn (0.4981, 0.4981, 0.5033)
Tc (0.2500, 0.2500, 0.2500)
Ru (0.7500, 0.7500, 0.7500)

Output
Its space group is C2/m. For the raw total energy, the calculation gives -21.69 eV for the cell shown. Its distance to the lowest polymorph of the same formula is 0.79 eV/f.u.



Entry 12:
Density functional theory data (PBE) for a relaxed structure of ZnTc2Ru.

a b c (Å): 8.9181 8.9181 8.9181
angles (deg): 17.76 17.76 17.76
Element x y z (fractional)
Tc (0.9998, 0.9998, 0.9998)
Ru (0.7491, 0.7491, 0.7491)
Tc (0.2518, 0.2518, 0.2518)
Zn (0.4994, 0.4994, 0.4994)

Output
Its space group is R3m. For the raw total energy, the calculation gives -31.07 eV for the cell shown.



Entry 13:
Density functional theory data (PBE) for a relaxed structure of ZnTc2Ru.

a b c (Å): 4.7447 4.7447 4.6960
angles (deg): 80.38 80.38 33.43
Element x y z (fractional)
Zn (0.5022, 0.5022, 0.4929)
Tc (0.7438, 0.7438, 0.7609)
Tc (0.9958, 0.9958, 0.9943)
Ru (0.2583, 0.2583, 0.2519)

Output
Its space group is Cm. For the raw total energy, the calculation gives -30.78 eV for the cell shown.



Entry 14:
Density functional theory data (PBE) for a relaxed structure of Zn2TcRu.

a b c (Å): 4.3042 4.3042 4.3042
angles (deg): 60.00 60.00 60.00
Element x y z (fractional)
Ru (0.5000, 0.5000, 0.5000)
Zn (0.2500, 0.2500, 0.2500)
Zn (0.0000, 0.0000, 0.0000)
Tc (0.7500, 0.7500, 0.7500)

Output
Its space group is F-43m. For the raw total energy, the calculation gives -21.90 eV for the cell shown. Its distance to the lowest polymorph of the same formula is 0.58 eV/f.u.



Entry 15:
Density functional theory data (PBE) for a relaxed structure of ZnTcRu2.

a b c (Å): 4.6394 4.6394 2.7597
angles (deg): 90.00 90.00 107.17
Site moments in Bohr magnetons follow the coordinates.
Element x y z (fractional)
Ru (0.0000, 0.0000, 0.0000)  0.20
Ru (0.5000, 0.5000, 0.0000)  0.20
Tc (0.5000, 0.0000, 0.5000)  0.06
Zn (0.0000, 0.5000, 0.5000)  0.00

Output
Its space group is Cmmm. For the raw total energy, the calculation gives -29.37 eV for the cell shown.



Entry 16:
Density functional theory data (PBE) for a relaxed structure of ZnTcRu2.

a b c (Å): 8.9003 8.9003 8.9003
angles (deg): 17.69 17.69 17.69
Element x y z (fractional)
Zn (0.7491, 0.7491, 0.7491)
Tc (0.5025, 0.5025, 0.5025)
Ru (0.2496, 0.2496, 0.2496)
Ru (0.9988, 0.9988, 0.9988)

Output
Its space group is R3m. For the raw total energy, the calculation gives -29.92 eV for the cell shown.



Entry 17:
Density functional theory data (PBE) for a relaxed structure of ZnTcRu2.

a b c (Å): 4.7541 4.7541 4.6273
angles (deg): 79.12 79.12 33.64
Element x y z (fractional)
Tc (0.4939, 0.4939, 0.5225)
Ru (0.0080, 0.0080, 0.0235)
Zn (0.2544, 0.2544, 0.2288)
Ru (0.7437, 0.7437, 0.7252)

Output
Its space group is Cm. For the raw total energy, the calculation gives -29.73 eV for the cell shown.



Entry 18:
Density functional theory data (PBE) for a relaxed structure of ZnTcRu2.

a b c (Å): 6.9524 6.9524 5.5921
angles (deg): 51.56 51.56 90.00
Element x y z (fractional)
Ru (0.8750, 0.9095, 0.7500)
Tc (0.7500, 0.2500, 0.5000)
Tc (0.0000, 0.0000, 0.0000)
Zn (0.2500, 0.7500, 0.5000)
Zn (0.5000, 0.5000, 0.0000)
Ru (0.3750, 0.3405, 0.7500)
Ru (0.6595, 0.1250, 0.2500)
Ru (0.0905, 0.6250, 0.2500)

Output
Its space group is I-42d. For the raw total energy, the calculation gives -55.31 eV for the cell shown.



Entry 19:
Density functional theory data (PBE) for a relaxed structure of ZnTcRu2.

a b c (Å): 2.8066 2.8066 7.1628
angles (deg): 90.00 90.00 90.00
Element x y z (fractional)
Ru (0.0000, 0.0000, 0.0020)
Zn (0.5000, 0.5000, 0.7500)
Tc (0.5000, 0.5000, 0.2500)
Ru (0.0000, 0.0000, 0.4980)

Output
Its space group is P4/mmm. For the raw total energy, the calculation gives -30.11 eV for the cell shown.



Entry 20:
Density functional theory data (PBE) for a relaxed structure of ZnTcRu2.

a b c (Å): 8.8807 8.8807 8.8807
angles (deg): 17.74 17.74 17.74
Element x y z (fractional)
Zn (0.7500, 0.7500, 0.7500)
Tc (0.2500, 0.2500, 0.2500)
Ru (0.9985, 0.9985, 0.9985)
Ru (0.5015, 0.5015, 0.5015)

Output
Its space group is R-3m. For the raw total energy, the calculation gives -30.16 eV for the cell shown.